This record from Alexandria describes a relaxed structure of Li2Mn3NiO8. The functional is PBE+U.

a = 5.9322 Å, b = 5.9322 Å, c = 5.9322 Å
α = 58.99°, β = 58.99°, γ = 58.99°
Fractional coordinates of all 14 atoms:
Li 0.1170 0.1170 0.1170
Li 0.8830 0.8830 0.8830
Mn 0.0000 0.5000 0.5000
Mn 0.5000 0.0000 0.5000
Mn 0.5000 0.5000 0.0000
Ni 0.5000 0.5000 0.5000
O 0.2533 0.2533 0.7096
O 0.2533 0.7096 0.2533
O 0.2630 0.2630 0.2630
O 0.2904 0.7467 0.7467
O 0.7096 0.2533 0.2533
O 0.7370 0.7370 0.7370
O 0.7467 0.2904 0.7467
O 0.7467 0.7467 0.2904

Results
E_tot = -90.29 eV per formula unit
magnetization = 11.000 Bohr magnetons per cell
mass density = 4.21 g/cm3